Here is an optimized crystal structure of ThMg2In3 from Alexandria. Energies are from GGA-PBE.

Unit cell a=7.441 b=7.441 c=4.583 alpha=90.00 beta=90.00 gamma=143.28
Sites, in units of the cell vectors:
Th1 0.000 0.000 0.000
Mg1 0.324 0.676 0.000
Mg2 0.676 0.324 0.000
In1 0.171 0.829 0.500
In2 0.500 0.500 0.500
In3 0.829 0.171 0.500

Results
- Total energy: -20.053 eV for the cell shown
- Energy relative to the elements: -1.23 eV/f.u.

***

Here is an optimized crystal structure of Th3Mg4In4 from Alexandria. Energies are from GGA-PBE.

Unit cell a=9.057 b=9.057 c=9.057 alpha=149.25 beta=130.39 gamma=59.51
Sites, in units of the cell vectors:
Th1 0.000 0.000 0.000
Th2 0.380 0.880 0.500
Th3 0.620 0.120 0.500
Mg1 0.022 0.329 0.693
Mg2 0.364 0.671 0.693
Mg3 0.636 0.329 0.307
Mg4 0.978 0.671 0.307
In1 0.217 0.217 0.000
In2 0.304 0.500 0.804
In3 0.696 0.500 0.196
In4 0.783 0.783 0.000

Results
- Total energy: -41.958 eV for the cell shown
- Energy relative to the elements: -2.37 eV/f.u.

***

Repeat the second record exactly.
Here is an optimized crystal structure of Th3Mg4In4 from Alexandria. Energies are from GGA-PBE.

Unit cell a=9.057 b=9.057 c=9.057 alpha=149.25 beta=130.39 gamma=59.51
Sites, in units of the cell vectors:
Th1 0.000 0.000 0.000
Th2 0.380 0.880 0.500
Th3 0.620 0.120 0.500
Mg1 0.022 0.329 0.693
Mg2 0.364 0.671 0.693
Mg3 0.636 0.329 0.307
Mg4 0.978 0.671 0.307
In1 0.217 0.217 0.000
In2 0.304 0.500 0.804
In3 0.696 0.500 0.196
In4 0.783 0.783 0.000

Results
- Total energy: -41.958 eV for the cell shown
- Energy relative to the elements: -2.37 eV/f.u.

***

Please write out number 2 again, unchanged.
Here is an optimized crystal structure of Th3Mg4In4 from Alexandria. Energies are from GGA-PBE.

Unit cell a=9.057 b=9.057 c=9.057 alpha=149.25 beta=130.39 gamma=59.51
Sites, in units of the cell vectors:
Th1 0.000 0.000 0.000
Th2 0.380 0.880 0.500
Th3 0.620 0.120 0.500
Mg1 0.022 0.329 0.693
Mg2 0.364 0.671 0.693
Mg3 0.636 0.329 0.307
Mg4 0.978 0.671 0.307
In1 0.217 0.217 0.000
In2 0.304 0.500 0.804
In3 0.696 0.500 0.196
In4 0.783 0.783 0.000

Results
- Total energy: -41.958 eV for the cell shown
- Energy relative to the elements: -2.37 eV/f.u.

***

Q: total energy of number 1 (ThMg2In3)?
A: -20.053 eV for the cell shown